# 1
! NbSe3Br | Alexandria | PBE | relaxed; values from VASP
&SYSTEM
  ibrav = 0, nat = 5, ntyp = 3
/
ATOMIC_SPECIES
Br 79.90 Br.upf
Nb 92.91 Nb.upf
Se 78.96 Se.upf
CELL_PARAMETERS angstrom
-4.062 2.000 -2.245
-1.120 -4.508 -1.989
-2.790 -1.101 4.067
ATOMIC_POSITIONS crystal
Br 0.500 0.500 0.500
Nb 0.000 0.000 0.000
Se 0.000 0.500 0.000
Se 0.500 0.000 0.000
Se 0.000 0.000 0.500
! Space group = Pm-3m (221)
! Total magnetization = 0.000 μB per formula unit
! Crystal system = cubic
! DFT total energy = -22.56 eV per cell

# 2
! Y3HgC | Alexandria | PBE | relaxed; values from VASP
&SYSTEM
  ibrav = 0, nat = 10, ntyp = 3
/
ATOMIC_SPECIES
Y 88.91 Y.upf
Hg 200.59 Hg.upf
C 12.01 C.upf
CELL_PARAMETERS angstrom
6.045 -0.001 -0.001
-1.876 5.746 0.000
-0.058 -0.081 6.841
ATOMIC_POSITIONS crystal
Y 0.021 0.596 0.115
Y 0.529 0.104 0.613
Y 0.029 0.604 0.613
Y 0.525 0.600 0.364
Y 0.025 0.100 0.364
Y 0.521 0.096 0.115
Hg 0.025 0.099 0.864
Hg 0.524 0.599 0.864
C 0.275 0.850 0.364
C 0.775 0.350 0.364
! Space group = P2/m (10)
! DFT formation energy = -0.34 eV/atom
! Total magnetization = 0.000 μB per formula unit
! Crystal system = monoclinic
! DFT total energy = -61.19 eV per cell

# 3
! TcAsCl2 | Alexandria | PBE | relaxed; values from VASP
&SYSTEM
  ibrav = 0, nat = 4, ntyp = 3
/
ATOMIC_SPECIES
As 74.92 As.upf
Cl 35.45 Cl.upf
Tc 98.00 Tc.upf
CELL_PARAMETERS angstrom
-3.129 -0.374 7.114
-0.240 -0.996 7.713
0.493 3.948 1.720
ATOMIC_POSITIONS crystal
As 0.250 0.250 0.250
Cl 0.113 0.113 0.884
Cl 0.387 0.387 0.616
Tc 0.750 0.750 0.750
! Space group = C2/m (12)
! Total magnetization = 0.000 μB per formula unit
! Crystal system = monoclinic
! DFT total energy = -19.00 eV per cell

# 4
! SrMn3Fe | Alexandria | PBE | relaxed; values from VASP
&SYSTEM
  ibrav = 0, nat = 5, ntyp = 3
/
ATOMIC_SPECIES
Mn 54.94 Mn.upf
Sr 87.62 Sr.upf
Fe 55.84 Fe.upf
CELL_PARAMETERS angstrom
-4.813 -0.108 -0.085
0.137 -4.079 -2.554
-0.015 -2.555 4.081
ATOMIC_POSITIONS crystal
Mn 0.000 0.000 0.500
Mn 0.500 0.000 0.000
Mn 0.000 0.500 0.000
Sr 0.000 0.000 0.000
Fe 0.500 0.500 0.500
! Space group = Pm-3m (221)
! DFT formation energy = 2.36 eV/atom
! Total magnetization = 13.753 μB per formula unit
! Crystal system = cubic
! DFT total energy = -25.88 eV per cell

- DFT total energy of number 4 (SrMn3Fe)?
  -25.88 eV per cell